1.
Compound: Pm2Al3Zn4
Source: the Alexandria database
Functional: PBE
Structure: optimized geometry

Geometry as POSCAR:
```
Pm2Al3Zn4
1.0
5.839 0.000 0.000
0.000 7.775 0.000
-2.920 0.000 7.752
Pm Al Zn
4 6 8
Direct
0.106 0.598 0.212
0.894 0.402 0.788
0.394 0.098 0.788
0.606 0.902 0.212
0.000 0.000 0.000
0.500 0.500 0.000
0.519 0.750 0.538
0.981 0.250 0.462
0.481 0.250 0.462
0.019 0.750 0.538
0.685 0.750 0.871
0.815 0.250 0.129
0.315 0.250 0.129
0.185 0.750 0.871
0.175 0.984 0.350
0.825 0.016 0.650
0.325 0.484 0.650
0.675 0.516 0.350
```

Calculated values
**Energy of formation from the pure elements**: -328 meV/atom
**Uncorrected energy**: -3.20 eV per atom

2.
Compound: Pu2Ga2Sn
Source: the Alexandria database
Functional: PBE
Structure: optimized geometry

Geometry as POSCAR:
```
Pu2Ga2Sn
1.0
7.183 0.000 0.000
0.000 7.183 0.000
0.000 0.000 9.079
Pu Ga Sn
8 8 4
Direct
0.672 0.828 0.500
0.328 0.172 0.500
0.828 0.328 0.000
0.172 0.672 0.000
0.828 0.328 0.500
0.172 0.672 0.500
0.328 0.172 0.000
0.672 0.828 0.000
0.375 0.875 0.250
0.625 0.125 0.250
0.125 0.375 0.750
0.875 0.625 0.750
0.875 0.625 0.250
0.125 0.375 0.250
0.375 0.875 0.750
0.625 0.125 0.750
0.500 0.500 0.250
0.000 0.000 0.750
0.500 0.500 0.750
0.000 0.000 0.250
```

Calculated values
**Energy of formation from the pure elements**: -319 meV/atom
**Uncorrected energy**: -8.06 eV per atom
**Offset from the most stable computed form**: 0.063 eV per atom

3.
Compound: La2FeGe4Pt3
Source: the Alexandria database
Functional: PBE
Structure: optimized geometry

Geometry as POSCAR:
```
La2FeGe4Pt3
1.0
-2.009 2.431 -2.998
2.620 -1.623 -3.072
-6.687 -7.604 -1.685
La Fe Ge Pt
2 1 4 3
Direct
0.500 0.000 0.250
0.000 0.500 0.750
0.500 0.500 0.500
0.500 0.500 0.000
0.000 0.000 0.000
0.500 0.000 0.625
0.000 0.500 0.375
0.000 0.000 0.500
0.500 0.000 0.871
0.000 0.500 0.129
```

Calculated values
**Energy of formation from the pure elements**: -849 meV/atom
**Uncorrected energy**: -6.34 eV per atom

4.
Compound: LaSc2UO8
Source: the Alexandria database
Functional: PBE
Structure: optimized geometry

Geometry as POSCAR:
```
LaSc2UO8
1.0
4.900 -0.023 -0.003
0.017 4.906 -0.005
0.004 0.008 7.102
La Sc U O
1 2 1 8
Direct
0.000 0.000 0.500
0.500 0.500 0.764
0.500 0.500 0.236
0.000 0.000 0.000
0.196 0.803 0.220
0.694 0.696 0.000
0.804 0.197 0.220
0.804 0.197 0.780
0.306 0.304 0.000
0.196 0.803 0.780
0.664 0.665 0.500
0.336 0.335 0.500
```

Calculated values
**Uncorrected energy**: -8.86 eV per atom
**Formation energy (no corrections)**: -3.148 eV per atom

5.
Compound: K3PaTl2Se6
Source: the Alexandria database
Functional: PBE
Structure: optimized geometry

Geometry as POSCAR:
```
K3PaTl2Se6
1.0
7.551 0.002 0.000
-3.772 6.542 0.000
-1.261 -2.183 7.652
K Pa Tl Se
3 1 2 6
Direct
0.176 0.824 0.500
0.824 0.176 0.500
0.500 0.500 0.500
0.000 0.000 0.000
0.335 0.665 0.000
0.665 0.335 0.000
0.930 0.625 0.789
0.769 0.769 0.213
0.070 0.375 0.211
0.625 0.930 0.789
0.231 0.231 0.787
0.375 0.070 0.211
```

Calculated values
**Uncorrected energy**: -4.19 eV per atom
**Formation energy (no corrections)**: -0.990 eV per atom

6.
Compound: CaThCuAg
Source: the Alexandria database
Functional: PBE
Structure: optimized geometry

Geometry as POSCAR:
```
CaThCuAg
1.0
-4.538 -2.141 1.208
-0.216 -4.953 1.435
-1.053 -1.222 4.902
Ca Cu Ag Th
1 1 1 1
Direct
0.500 0.500 0.500
0.250 0.250 0.250
0.750 0.750 0.750
0.000 0.000 0.000
```

Calculated values
**Energy of formation from the pure elements**: -66 meV/atom
**Uncorrected energy**: -4.16 eV per atom

7.
Compound: Tm2HgTe
Source: the Alexandria database
Functional: PBE
Structure: optimized geometry

Geometry as POSCAR:
```
Tm2HgTe
1.0
-1.203 3.030 1.941
1.490 -1.443 3.177
6.168 3.333 -1.379
Tm Te Hg
2 1 1
Direct
0.000 0.000 0.752
0.000 0.000 0.248
0.500 0.500 0.500
0.500 0.500 0.000
```

Calculated values
**Uncorrected energy**: -3.77 eV per atom
**Formation energy (no corrections)**: -0.675 eV per atom
**Offset from the most stable computed form**: 0.133 eV per atom

8.
Compound: Sr2Nd2Cd15
Source: the Alexandria database
Functional: PBE
Structure: optimized geometry

Geometry as POSCAR:
```
Sr2Nd2Cd15
1.0
-3.743 4.969 5.026
-6.964 -3.880 0.647
1.362 -3.888 6.855
Sr Nd Cd
2 2 15
Direct
0.341 0.341 0.341
0.659 0.659 0.659
0.091 0.091 0.091
0.909 0.909 0.909
0.500 0.000 0.000
0.000 0.000 0.500
0.000 0.500 0.000
0.000 0.701 0.299
0.701 0.299 0.000
0.299 0.000 0.701
0.299 0.701 0.000
0.701 0.000 0.299
0.000 0.299 0.701
0.153 0.639 0.639
0.639 0.639 0.153
0.639 0.153 0.639
0.847 0.361 0.361
0.361 0.361 0.847
0.361 0.847 0.361
```

Calculated values
**Energy of formation from the pure elements**: -169 meV/atom
**Uncorrected energy**: -1.57 eV per atom

9.
Compound: SrAc4N5
Source: the Alexandria database
Functional: PBE
Structure: optimized geometry

Geometry as POSCAR:
```
SrAc4N5
1.0
3.798 0.000 0.868
1.610 6.297 1.698
0.035 -0.018 8.595
Sr Ac N
1 4 5
Direct
0.000 0.000 0.000
0.599 0.197 0.606
0.203 0.399 0.196
0.797 0.601 0.804
0.401 0.803 0.394
0.202 0.906 0.689
0.798 0.094 0.311
0.392 0.322 0.894
0.000 0.500 0.500
0.608 0.678 0.106
```

Calculated values
**Uncorrected energy**: -6.91 eV per atom
**Formation energy (no corrections)**: -0.934 eV per atom

10.
Compound: HfZrCr2Pb
Source: the Alexandria database
Functional: PBE
Structure: optimized geometry

Geometry as POSCAR:
```
HfZrCr2Pb
1.0
-4.598 -0.760 -1.130
1.484 -2.374 -4.441
0.132 -4.209 2.294
Pb Cr Hf Zr
1 2 1 1
Direct
0.000 0.000 0.000
0.000 0.000 0.500
0.500 0.000 0.000
0.000 0.500 0.000
0.500 0.500 0.500
```

Calculated values
**Energy of formation from the pure elements**: 1868 meV/atom
**Uncorrected energy**: -6.42 eV per atom

11.
Compound: Co2AsI
Source: the Alexandria database
Functional: PBE
Structure: optimized geometry

Geometry as POSCAR:
```
Co2AsI
1.0
-3.823 -2.418 -2.537
3.412 -1.711 -3.511
0.724 -7.012 0.290
I As Co
2 2 4
Direct
0.000 0.000 0.000
0.750 0.250 0.500
0.500 0.500 0.000
0.250 0.750 0.500
0.579 0.125 0.250
0.171 0.625 0.250
0.375 0.421 0.750
0.875 0.829 0.750
```

Calculated values
**Uncorrected energy**: -4.79 eV per atom
**Formation energy (no corrections)**: 0.317 eV per atom
**Offset from the most stable computed form**: 0.000 eV per atom

12.
Compound: LaCe3Ir8
Source: the Alexandria database
Functional: PBE
Structure: optimized geometry

Geometry as POSCAR:
```
LaCe3Ir8
1.0
-2.581 3.448 3.284
-5.413 0.194 0.008
-2.876 -4.959 7.412
La Ce Ir
1 3 8
Direct
0.875 0.875 0.376
0.375 0.375 0.874
0.000 0.000 0.000
0.500 0.500 0.501
0.941 0.438 0.184
0.434 0.937 0.691
0.438 0.438 0.184
0.937 0.937 0.691
0.187 0.187 0.438
0.687 0.687 0.938
0.438 0.941 0.184
0.937 0.434 0.691
```

Calculated values
**Energy of formation from the pure elements**: -758 meV/atom
**Uncorrected energy**: -8.56 eV per atom
**Offset from the most stable computed form**: 0.000 eV per atom

13.
Compound: ScHg2
Source: the Alexandria database
Functional: PBE
Structure: optimized geometry

Geometry as POSCAR:
```
ScHg2
1.0
-4.303 0.187 -0.693
-0.274 -4.321 0.534
0.140 3.913 13.914
Hg Sc
8 4
Direct
0.251 0.251 0.503
0.749 0.749 0.497
0.501 0.001 0.003
0.999 0.499 0.997
0.412 0.412 0.823
0.588 0.588 0.177
0.662 0.162 0.323
0.838 0.338 0.677
0.080 0.080 0.160
0.920 0.920 0.840
0.330 0.830 0.660
0.170 0.670 0.340
```

Calculated values
**Energy of formation from the pure elements**: -249 meV/atom
**Uncorrected energy**: -2.56 eV per atom

14.
Compound: YZn2Os
Source: the Alexandria database
Functional: PBE
Structure: optimized geometry

Geometry as POSCAR:
```
YZn2Os
1.0
0.249 -3.295 -3.193
-1.148 -4.321 1.063
-3.849 -1.841 -1.708
Y Zn Os
1 2 1
Direct
0.000 0.000 0.000
0.250 0.250 0.250
0.750 0.750 0.750
0.500 0.500 0.500
```

Calculated values
**Energy of formation from the pure elements**: -19 meV/atom
**Uncorrected energy**: -5.08 eV per atom
**Offset from the most stable computed form**: 0.105 eV per atom

15.
Compound: KCa2Sn
Source: the Alexandria database
Functional: PBE
Structure: optimized geometry

Geometry as POSCAR:
```
KCa2Sn
1.0
6.968 0.000 0.000
0.000 6.968 0.000
3.484 3.484 9.821
K Ca Sn
2 4 2
Direct
0.500 0.500 0.000
0.250 0.750 0.500
0.803 0.125 0.250
0.947 0.625 0.250
0.375 0.197 0.750
0.875 0.053 0.750
0.000 0.000 0.000
0.750 0.250 0.500
```

Calculated values
**Energy of formation from the pure elements**: 169 meV/atom
**Uncorrected energy**: -2.11 eV per atom

16.
Compound: Ho2TmSc
Source: the Alexandria database
Functional: PBE
Structure: optimized geometry

Geometry as POSCAR:
```
Ho2TmSc
1.0
-3.380 0.586 -0.550
-0.148 -2.791 -2.064
-2.190 -5.501 7.593
Sc Tm Ho
1 1 2
Direct
0.500 0.500 0.000
0.500 0.500 0.500
0.000 0.000 0.759
0.000 0.000 0.241
```

Calculated values
**Energy of formation from the pure elements**: 40 meV/atom
**Uncorrected energy**: -4.95 eV per atom
**Offset from the most stable computed form**: 0.011 eV per atom

17.
Compound: ThBiTe
Source: the Alexandria database
Functional: PBE
Structure: optimized geometry

Geometry as POSCAR:
```
ThBiTe
1.0
-3.532 -0.568 2.715
-2.033 -2.906 -3.253
5.183 -12.282 4.176
Te Bi Th
2 2 2
Direct
0.750 0.689 0.622
0.250 0.311 0.378
0.250 0.042 0.917
0.750 0.958 0.083
0.250 0.618 0.765
0.750 0.382 0.235
```

Calculated values
**Uncorrected energy**: -4.98 eV per atom
**Formation energy (no corrections)**: -0.167 eV per atom
**Offset from the most stable computed form**: 0.733 eV per atom

18.
Compound: Na3Zn3Sn8
Source: the Alexandria database
Functional: PBE
Structure: optimized geometry

Geometry as POSCAR:
```
Na3Zn3Sn8
1.0
-0.004 0.742 4.650
0.813 -8.322 3.713
8.794 -0.507 2.473
Na Zn Sn
3 3 8
Direct
0.500 0.500 0.500
0.770 0.230 0.230
0.230 0.770 0.770
0.500 0.000 0.000
0.000 0.878 0.122
0.000 0.122 0.878
0.646 0.042 0.666
0.354 0.958 0.334
0.646 0.666 0.042
0.354 0.334 0.958
0.880 0.769 0.470
0.120 0.231 0.530
0.880 0.470 0.769
0.120 0.530 0.231
```

Calculated values
**Energy of formation from the pure elements**: -73 meV/atom
**Uncorrected energy**: -2.92 eV per atom

19.
Compound: La5Nd2Th
Source: the Alexandria database
Functional: PBE
Structure: optimized geometry

Geometry as POSCAR:
```
La5Nd2Th
1.0
-0.972 -3.592 4.356
6.257 2.570 -0.253
-4.895 12.853 9.508
La Nd Th
10 4 2
Direct
0.923 0.846 0.903
0.923 0.846 0.597
0.379 0.758 0.448
0.379 0.758 0.052
0.538 0.076 0.250
0.462 0.924 0.750
0.621 0.242 0.552
0.621 0.242 0.948
0.077 0.154 0.097
0.077 0.154 0.403
0.777 0.554 0.368
0.777 0.554 0.132
0.223 0.446 0.632
0.223 0.446 0.868
0.737 0.475 0.750
0.263 0.525 0.250
```

Calculated values
**Energy of formation from the pure elements**: 108 meV/atom
**Uncorrected energy**: -5.09 eV per atom
**Offset from the most stable computed form**: 0.058 eV per atom

20.
Compound: Rb2NaAsIr
Source: the Alexandria database
Functional: PBE
Structure: optimized geometry

Geometry as POSCAR:
```
Rb2NaAsIr
1.0
-4.792 -4.029 -2.107
0.855 -3.300 4.366
-4.432 3.452 3.477
Na As Ir Rb
1 1 1 2
Direct
0.000 0.500 0.000
0.000 0.000 0.000
0.500 0.500 0.500
0.000 0.000 0.500
0.500 0.000 0.000
```

Calculated values
**Energy of formation from the pure elements**: 841 meV/atom
**Uncorrected energy**: -2.51 eV per atom

21.
Compound: LiNdEr
Source: the Alexandria database
Functional: PBE
Structure: optimized geometry

Geometry as POSCAR:
```
LiNdEr
1.0
3.714 0.000 0.000
0.000 3.714 0.000
-1.857 -1.857 6.171
Li Nd Er
1 1 1
Direct
0.671 0.671 0.343
0.012 0.012 0.023
0.317 0.317 0.634
```

Calculated values
**Energy of formation from the pure elements**: 84 meV/atom
**Uncorrected energy**: -3.66 eV per atom
**Offset from the most stable computed form**: 0.000 eV per atom

22.
Compound: Sr2ZrTl
Source: the Alexandria database
Functional: PBE
Structure: optimized geometry

Geometry as POSCAR:
```
Sr2ZrTl
1.0
11.722 -0.028 -0.017
11.157 3.597 -0.017
11.157 1.740 3.148
Sr Tl Zr
2 1 1
Direct
0.998 0.998 0.998
0.502 0.502 0.502
0.250 0.250 0.250
0.750 0.750 0.750
```

Calculated values
**Energy of formation from the pure elements**: 262 meV/atom
**Uncorrected energy**: -3.31 eV per atom
**Offset from the most stable computed form**: 0.140 eV per atom

23.
Compound: Ca3WS
Source: the Alexandria database
Functional: PBE
Structure: optimized geometry

Geometry as POSCAR:
```
Ca3WS
1.0
5.360 0.000 0.000
0.000 5.360 0.000
0.000 0.000 5.360
Ca S W
3 1 1
Direct
0.000 0.500 0.000
0.000 0.000 0.500
0.500 0.000 0.000
0.500 0.500 0.500
0.000 0.000 0.000
```

Calculated values
**Uncorrected energy**: -3.80 eV per atom
**Formation energy (no corrections)**: 0.813 eV per atom
**Offset from the most stable computed form**: 0.624 eV per atom

Magnetization values, unit μB per cell, following the record order: 0.0 45.0 2.2 0.3 0.0 0.0 0.5 0.0 0.0 0.0 0.0 0.0 0.0 0.0 0.0 0.0 0.0 0.0 0.0 3.0 0.0 0.0 0.0.